# CuNiSe2

Crystalline CuNiSe2 at its relaxed geometry (GGA-PBE, Alexandria).

Lattice parameters (Å, degrees): 6.570 3.795 5.245 90.00 90.07 90.00
Fractional coordinates of all 8 atoms:
Cu: 0.000 0.000 0.000
Cu: 0.500 0.500 0.000
Ni: 0.000 0.000 0.500
Ni: 0.500 0.500 0.500
Se: 0.167 0.500 0.267
Se: 0.333 0.000 0.733
Se: 0.667 0.000 0.267
Se: 0.833 0.500 0.733

- D(E_F): 3.0 states/eV/f.u.
- E_form (uncorrected): -162 meV per atom
- Calculated density: 7.1 g/cm3
- Total energy: -34.99 eV per cell

=====

# Y3Mg2Zn

Crystalline Y3Mg2Zn at its relaxed geometry (GGA-PBE, Alexandria).

Lattice parameters (Å, degrees): 3.675 3.675 11.508 90.00 90.00 90.00
Fractional coordinates of all 6 atoms:
Y: 0.000 0.000 0.000
Y: 0.000 0.000 0.351
Y: 0.000 0.000 0.649
Mg: 0.500 0.500 0.173
Mg: 0.500 0.500 0.827
Zn: 0.500 0.500 0.500

- D(E_F): 7.5 states/eV/f.u.
- ΔE_f: -0.189 eV/atom
- Calculated density: 4.1 g/cm3
- Total energy: -24.99 eV per cell

=====

# PuSeBr2

Crystalline PuSeBr2 at its relaxed geometry (GGA-PBE, Alexandria).

Lattice parameters (Å, degrees): 3.788 10.702 6.803 90.00 90.00 90.00
Fractional coordinates of all 8 atoms:
Pu: 0.000 0.000 0.000
Pu: 0.500 0.500 0.500
Se: 0.000 0.500 0.789
Se: 0.500 0.000 0.289
Br: 0.000 0.330 0.318
Br: 0.000 0.670 0.318
Br: 0.500 0.170 0.818
Br: 0.500 0.830 0.818

- D(E_F): 9.1 states/eV/f.u.
- E_form (uncorrected): -1129 meV per atom
- Calculated density: 5.8 g/cm3
- Total energy: -51.36 eV per cell

=====

# TbPrZnSi

Crystalline TbPrZnSi at its relaxed geometry (GGA-PBE, Alexandria).

Lattice parameters (Å, degrees): 7.211 7.211 7.211 90.00 90.00 90.00
Fractional coordinates of all 16 atoms:
Tb: 0.000 0.000 0.000
Tb: 0.000 0.500 0.500
Tb: 0.500 0.000 0.500
Tb: 0.500 0.500 0.000
Pr: 0.000 0.000 0.500
Pr: 0.000 0.500 0.000
Pr: 0.500 0.000 0.000
Pr: 0.500 0.500 0.500
Zn: 0.250 0.250 0.750
Zn: 0.250 0.750 0.250
Zn: 0.750 0.250 0.250
Zn: 0.750 0.750 0.750
Si: 0.250 0.250 0.250
Si: 0.250 0.750 0.750
Si: 0.750 0.250 0.750
Si: 0.750 0.750 0.250

- D(E_F): 2.1 states/eV/f.u.
- E_form (uncorrected): -433 meV per atom
- ΔE to the lowest computed polymorph: 95 meV per atom
- Calculated density: 7.0 g/cm3
- Total energy: -71.35 eV per cell

=====

# LiTm3Sb2

Crystalline LiTm3Sb2 at its relaxed geometry (GGA-PBE, Alexandria).

Lattice parameters (Å, degrees): 9.305 9.305 9.305 141.46 55.48 141.67
Fractional coordinates of all 12 atoms:
Li: 0.250 0.250 0.000
Li: 0.750 0.750 0.000
Tm: 0.177 0.749 0.926
Tm: 0.250 0.750 0.500
Tm: 0.323 0.249 0.572
Tm: 0.677 0.751 0.428
Tm: 0.750 0.250 0.500
Tm: 0.823 0.251 0.074
Sb: 0.138 0.246 0.384
Sb: 0.362 0.746 0.109
Sb: 0.638 0.254 0.891
Sb: 0.862 0.754 0.616

- D(E_F): 6.8 states/eV/f.u.
- E_form (uncorrected): -691 meV per atom
- Calculated density: 8.1 g/cm3
- Total energy: -55.44 eV per cell

=====

# Be2Ni8P

Crystalline Be2Ni8P at its relaxed geometry (GGA-PBE, Alexandria).

Lattice parameters (Å, degrees): 6.670 6.670 5.065 106.94 106.94 32.01
Fractional coordinates of all 11 atoms:
Be: 0.185 0.185 0.203
Be: 0.815 0.815 0.797
Ni: 0.024 0.024 0.267
Ni: 0.201 0.201 0.795
Ni: 0.335 0.335 0.542
Ni: 0.400 0.400 0.045
Ni: 0.600 0.600 0.955
Ni: 0.665 0.665 0.458
Ni: 0.799 0.799 0.205
Ni: 0.976 0.976 0.733
P: 0.500 0.500 0.500

- D(E_F): 10.8 states/eV/f.u.
- ΔE_f: -0.257 eV/atom
- ΔE to the lowest computed polymorph: 0 meV per atom
- Calculated density: 7.6 g/cm3
- Total energy: -61.94 eV per cell